Run w
Compound: TbNbGa2
Source: the Alexandria database
Functional: GGA-PBE
Structure: relaxed

Crystal system = trigonal

Unit cell a=3.1748 b=3.1748 c=28.0166 alpha=90.00 beta=90.00 gamma=120.00
Closest atoms and distances in Å follow each position.
Space group R-3m (No. 166, hexagonal axes)
Asymmetric unit:
Tb (0.0000, 0.0000, 0.0000) (multiplicity 3)  6 Ga 3.11, 6 Tb 3.17
Nb (0.0000, 0.0000, 0.5000) (multiplicity 3)  6 Ga 2.83
Ga (0.0000, 0.0000, 0.2436) (multiplicity 6)  3 Nb 2.83, 3 Tb 3.11

---

Run x
Compound: TbNbGa2
Source: the Alexandria database
Functional: GGA-PBE
Structure: relaxed

Crystal system = tetragonal

Unit cell a=3.5518 b=3.5518 c=6.2297 alpha=90.00 beta=90.00 gamma=90.00
Closest atoms and distances in Å follow each position.
Space group P4/mmm (No. 123)
Asymmetric unit:
Tb (0.0000, 0.0000, 0.0000) (multiplicity 1)  8 Ga 3.10, 2 Nb 3.11
Nb (0.0000, 0.0000, 0.5000) (multiplicity 1)  8 Ga 2.82, 2 Tb 3.11
Ga (0.5000, 0.5000, 0.2928) (multiplicity 2)  1 Ga 2.58, 4 Nb 2.82

---

Unit: meV per atom. Relative energies: run w 240; run x 0.